[1]
TmHfV4, relaxed, DFT PBE-GGA; electronic total energy = -49.6 eV per cell; energy of formation from the pure elements = 123 kJ/mol of formula units; calculated volume = 102 Å³/f.u.
1.0
5.2526 0.0000 0.0000
2.6263 4.5489 0.0000
2.6263 1.5163 4.2887
Tm V Hf
1 4 1
Cartesian
0.0000 0.0000 0.0000
6.5671 3.7915 2.6810
5.2526 3.0326 0.5345
3.9381 3.7915 2.6810
5.2526 1.5147 2.6810
2.6263 1.5163 1.0722

[2]
AlPd2Rh, relaxed, DFT PBE-GGA; electronic total energy = -23.2 eV per cell; energy of formation from the pure elements = -170 kJ/mol of formula units; calculated volume = 58 Å³/f.u.
1.0
2.8443 0.0000 0.0000
0.0000 2.8443 0.0000
0.0000 0.0000 7.2148
Pd Al Rh
2 1 1
Cartesian
0.0000 0.0000 5.5889
0.0000 0.0000 1.6259
1.4222 1.4222 0.0000
1.4222 1.4222 3.6074

[3]
ReHgI2F6, relaxed, DFT PBE-GGA; formation energy without anion corrections = -36.08 kcal/mol of atoms; electronic total energy = -85.5 eV per cell; calculated volume = 264 Å³/f.u.
1.0
-2.9660 -5.8862 -2.6599
-1.2913 -2.3430 6.6249
-9.2739 4.7334 -0.1336
F Hg I Re
12 2 4 2
Cartesian
-5.8136 0.0740 0.3818
-8.8961 1.5424 6.5066
-6.6093 -1.3696 4.4656
-2.6557 -5.2286 -0.8998
-6.9253 -2.1322 -0.6152
-7.7215 -3.5770 3.4681
-0.8020 -1.5498 0.7626
-4.4542 -1.4305 -1.3640
-2.9570 -1.4889 6.5921
-7.7890 0.2715 -1.4120
-1.5977 -2.9934 4.8464
-3.4519 -6.6734 3.1835
-2.1298 -4.1167 1.9884
-5.2815 1.1973 3.2398
-4.4593 -2.9271 1.9536
-9.0737 -0.5720 1.8871
-2.9519 0.0077 3.2746
-7.6115 2.3859 3.2074
-6.1216 -0.5794 -1.3882
-1.2897 -2.3400 6.6163

[4]
Ba3Mg9Hg2, relaxed, DFT PBE-GGA; electronic total energy = -22.3 eV per cell; energy of formation from the pure elements = -156 kJ/mol of formula units; calculated volume = 426 Å³/f.u.
1.0
4.9762 0.0000 1.2698
1.9031 8.9910 2.9274
0.1902 0.2424 9.6402
Hg Mg Ba
2 9 3
Cartesian
3.1587 2.6962 8.3923
3.9108 6.5371 5.4451
6.0554 7.5881 7.4260
1.0466 4.6167 6.2838
1.7314 0.2947 3.6005
1.7543 5.4259 3.5105
4.8257 6.3217 12.2450
2.2437 2.9116 1.5925
5.3381 8.9387 10.2369
1.0141 1.6452 6.4115
5.3152 3.8074 10.3269
0.0000 0.0000 0.0000
2.9870 6.3710 9.0653
4.0825 2.8623 4.7721

[5]
Ba2PmPt2O6, relaxed, DFT PBE-GGA; formation energy without anion corrections = -37.42 kcal/mol of atoms; electronic total energy = -68.3 eV per cell; calculated volume = 205 Å³/f.u.
1.0
-5.2377 2.5930 -2.1759
-3.4056 -2.9804 -4.2908
-6.0676 -2.8546 2.2666
Ba Pt O Pm
2 2 6 1
Cartesian
-4.0277 -1.1098 -0.5644
-10.6832 -2.1321 -3.6357
-6.5455 -0.9282 -3.2241
-8.1654 -2.3137 -0.9760
-6.5090 -2.1677 0.0741
-8.2019 -1.0742 -4.2742
-5.3517 -2.4853 -3.0901
-6.3486 0.5477 -1.9392
-8.3623 -3.7896 -2.2609
-9.3592 -0.7566 -1.1100
0.0000 0.0000 0.0000

[6]
Pm2MgZn16, relaxed, DFT PBE-GGA; electronic total energy = -36.3 eV per cell; energy of formation from the pure elements = -469 kJ/mol of formula units; calculated volume = 317 Å³/f.u.
1.0
-0.1427 -6.1017 -3.1496
6.7020 -1.4084 0.5205
-0.3613 -3.8902 5.6486
Zn Pm Mg
16 2 1
Cartesian
3.3271 -0.7040 0.2596
-0.1762 -1.9349 2.8031
6.4035 -5.9446 3.5705
1.5122 -8.6008 3.5822
1.5768 -9.2542 0.9825
0.7425 -6.6916 1.7004
-0.0678 -3.0318 -1.5607
4.3165 -6.6780 5.0858
5.4253 -4.6902 1.3137
4.0811 -4.4023 3.4905
0.6728 -1.2375 0.3278
6.4931 -6.8506 -0.0340
2.0041 -5.8923 3.7975
2.1099 -6.9635 -0.4640
4.1877 -5.4810 -0.8010
4.4706 -8.2374 -1.1185
4.0939 -7.5302 1.9944
2.0927 -3.8492 1.0195
5.6155 -10.3290 2.7357

[7]
FeTcAs2, relaxed, DFT PBE-GGA; polymorph energy (0 for the lowest one) = 1.91 eV per formula unit; electronic total energy = -26.3 eV per cell; energy of formation from the pure elements = 173 kJ/mol of formula units; calculated volume = 60 Å³/f.u.
1.0
4.3994 0.0000 0.0000
2.1997 3.8100 0.0000
2.1997 1.2700 3.5921
As Fe Tc
2 1 1
Cartesian
2.1997 1.2700 0.8980
0.0000 0.0000 0.0000
4.3994 2.5400 1.7961
6.5992 3.8100 2.6941

[8]
PrPuSi, relaxed, DFT PBE-GGA; formation energy without anion corrections = -3.59 kcal/mol of atoms; polymorph energy (0 for the lowest one) = 0.02 eV per formula unit; electronic total energy = -100.0 eV per cell; calculated volume = 79 Å³/f.u.
1.0
-4.0128 -1.1400 -2.7639
0.1379 -1.2472 4.8442
-5.9888 12.7242 3.4465
Si Pu Pr
4 4 4
Cartesian
-4.9971 3.8552 1.1348
-6.6080 10.1816 5.3941
-3.2557 0.1553 0.1327
-4.8666 6.4817 4.3920
-1.9435 0.2712 2.7098
-3.5422 3.6679 3.6298
-6.3215 6.6690 1.8970
-7.9202 10.0657 2.8170
0.0000 0.0000 0.0000
-2.9944 6.3621 1.7232
-1.4972 3.1810 0.8616
-4.4916 9.5431 2.5849

[9]
SrAg2Os, relaxed, DFT PBE-GGA; polymorph energy (0 for the lowest one) = 0.40 eV per formula unit; electronic total energy = -15.8 eV per cell; energy of formation from the pure elements = 271 kJ/mol of formula units; calculated volume = 84 Å³/f.u.
1.0
5.1719 -0.0768 0.0000
1.2392 5.0219 0.0000
-3.2056 -2.4725 3.2196
Ag Sr Os
2 1 1
Cartesian
3.2056 2.4725 0.0000
0.0000 0.0000 0.0000
2.5860 -0.0384 1.6098
0.6196 2.5109 1.6098

[10]
MnBeHRh2, relaxed, DFT PBE-GGA; polymorph energy (0 for the lowest one) = 0.16 eV per formula unit; electronic total energy = -31.8 eV per cell; calculated volume = 54 Å³/f.u.
1.0
3.9117 0.0000 0.0000
0.0000 3.9117 0.0000
0.0000 0.0000 3.4992
Rh Be H Mn
2 1 1 1
Cartesian
0.0000 1.9559 0.0000
1.9559 0.0000 0.0000
1.9559 1.9559 1.7496
0.0000 0.0000 0.0000
0.0000 0.0000 1.7496

[11]
NiPb, relaxed, DFT PBE-GGA; electronic total energy = -8.8 eV per cell; energy of formation from the pure elements = 63 kJ/mol of formula units; calculated volume = 38 Å³/f.u.
1.0
-0.7393 3.1505 -0.9411
-1.4598 0.1366 3.0345
2.8682 1.0708 1.3316
Pb Ni
1 1
Cartesian
0.3346 2.1790 1.7125
0.0000 0.0000 0.0000

[12]
Gd2BeH, relaxed, DFT PBE-GGA; electronic total energy = -33.2 eV per cell; calculated volume = 85 Å³/f.u.
1.0
3.3804 0.0000 0.0000
1.6902 2.9275 0.0000
1.6902 0.9758 8.6156
H Gd Be
1 2 1
Cartesian
3.3804 1.9517 4.3078
5.0705 2.9275 2.8771
1.6902 0.9758 5.7385
0.0000 0.0000 0.0000